(1)
YFe2Si | PBE | optimized geometry

Unit cell a=4.873 b=5.204 c=3.040 alpha=74.51 beta=86.93 gamma=116.91
Fractional positions:
1 Fe 0.500 0.000 0.500
2 Fe 0.000 0.000 0.000
3 Si 0.000 0.500 0.500
4 Y 0.500 0.500 0.000

Values from the calculation:
Its volume is 16.2 Å³ per atom. For the total energy, the calculation gives -6.96 eV/atom.

***

(2)
K2AgTeO4 | PBE | optimized geometry

Unit cell a=7.389 b=7.389 c=7.072 alpha=118.59 beta=118.59 gamma=96.79
Fractional positions:
1 Te 0.500 0.500 0.500
2 Te 0.000 0.000 0.000
3 O 0.704 0.342 0.523
4 O 0.742 0.758 0.556
5 O 0.258 0.242 0.444
6 O 0.842 0.205 0.023
7 O 0.258 0.242 0.056
8 O 0.742 0.758 0.944
9 O 0.158 0.795 0.977
10 O 0.296 0.658 0.477
11 K 0.500 0.000 0.000
12 K 0.500 0.500 0.000
13 K 0.000 0.000 0.500
14 K 0.500 0.000 0.500
15 Ag 0.000 0.500 0.500
16 Ag 0.000 0.500 0.000

Values from the calculation:
Its volume is 16.6 Å³ per atom. For the total energy, the calculation gives -4.47 eV/atom.

***

(3)
Pm2HoTl | PBE | optimized geometry

Unit cell a=3.682 b=3.682 c=11.183 alpha=80.53 beta=80.53 gamma=60.00
Fractional positions:
1 Pm 0.080 0.080 0.761
2 Pm 0.254 0.254 0.239
3 Tl 0.666 0.666 0.001
4 Ho 0.500 0.500 0.500

Values from the calculation:
Its volume is 32.2 Å³ per atom. For the total energy, the calculation gives -4.21 eV/atom.

***

(4)
In12Pd3S5 | PBE | optimized geometry

Unit cell a=13.930 b=13.930 c=13.930 alpha=109.47 beta=109.47 gamma=109.47
Fractional positions:
1 In 0.860 0.266 0.436
2 In 0.564 0.330 0.923
3 In 0.936 0.577 0.170
4 In 0.734 0.140 0.064
5 In 0.064 0.640 0.734
6 In 0.330 0.564 0.423
7 In 0.234 0.564 0.640
8 In 0.593 0.734 0.670
9 In 0.577 0.936 0.670
10 In 0.734 0.593 0.170
11 In 0.234 0.670 0.093
12 In 0.640 0.577 0.907
13 In 0.936 0.360 0.266
14 In 0.170 0.093 0.734
15 In 0.077 0.907 0.140
16 In 0.330 0.766 0.407
17 In 0.670 0.436 0.577
18 In 0.564 0.234 0.140
19 In 0.266 0.860 0.936
20 In 0.766 0.330 0.907
21 In 0.140 0.734 0.564
22 In 0.360 0.423 0.093
23 In 0.093 0.923 0.360
24 In 0.407 0.140 0.577
25 In 0.923 0.830 0.564
26 In 0.923 0.093 0.860
27 In 0.436 0.670 0.077
28 In 0.670 0.234 0.593
29 In 0.907 0.077 0.640
30 In 0.830 0.907 0.266
31 In 0.140 0.407 0.077
32 In 0.170 0.077 0.936
33 In 0.093 0.170 0.234
34 In 0.593 0.860 0.423
35 In 0.064 0.423 0.830
36 In 0.907 0.830 0.766
37 In 0.423 0.360 0.593
38 In 0.640 0.064 0.234
39 In 0.766 0.436 0.360
40 In 0.423 0.064 0.330
41 In 0.407 0.266 0.330
42 In 0.077 0.170 0.436
43 In 0.577 0.640 0.407
44 In 0.860 0.593 0.923
45 In 0.360 0.936 0.766
46 In 0.436 0.766 0.860
47 In 0.266 0.407 0.830
48 In 0.830 0.923 0.064
49 S 0.500 0.000 0.500
50 S 0.375 0.125 0.750
51 S 0.000 0.000 0.000
52 S 0.125 0.375 0.250
53 S 0.500 0.500 0.500
54 S 0.750 0.625 0.375
55 S 0.625 0.750 0.875
56 S 0.250 0.375 0.625
57 S 0.500 0.000 0.000
58 S 0.375 0.250 0.125
59 S 0.125 0.750 0.375
60 S 0.875 0.250 0.625
61 S 0.000 0.500 0.500
62 S 0.500 0.500 0.000
63 S 0.625 0.875 0.250
64 S 0.000 0.500 0.000
65 S 0.750 0.125 0.875
66 S 0.875 0.625 0.750
67 S 0.250 0.875 0.125
68 S 0.000 0.000 0.500
69 Pd 0.125 0.250 0.875
70 Pd 0.125 0.875 0.750
71 Pd 0.625 0.375 0.750
72 Pd 0.375 0.750 0.625
73 Pd 0.250 0.625 0.875
74 Pd 0.625 0.250 0.375
75 Pd 0.250 0.125 0.375
76 Pd 0.875 0.750 0.125
77 Pd 0.875 0.125 0.250
78 Pd 0.750 0.875 0.625
79 Pd 0.750 0.375 0.125
80 Pd 0.375 0.625 0.250

Values from the calculation:
Its volume is 26.0 Å³ per atom. For the total energy, the calculation gives -3.69 eV/atom.

***

- Among the records above, which one has the highest volume?
  Pm2HoTl